1.
Entry from Alexandria via LeMat-Bulk: crystalline SrTm3Pt at its relaxed geometry (PBE).

abc: 5.4997 5.4997 5.4997
angles: 90.00 90.00 90.00
Closest atoms and distances in Å follow each position.
Element x y z (fractional)
1 Sr 0.5000 0.5000 0.5000  12 Tm 3.89
2 Tm 0.0000 0.5000 0.0000  2 Pt 2.75
3 Tm 0.0000 0.0000 0.5000  2 Pt 2.75
4 Tm 0.5000 0.0000 0.0000  2 Pt 2.75
5 Pt 0.0000 0.0000 0.0000  6 Tm 2.75



2.
Entry from Alexandria via LeMat-Bulk: crystalline SrTm3Pt3 at its relaxed geometry (PBE).

abc: 7.6632 7.6632 7.6632
angles: 90.00 90.00 90.00
Closest atoms and distances in Å follow each position.
Element x y z (fractional)
1 Sr 0.5000 0.5000 0.5000  12 Tm 4.28, 12 Pt 4.28
2 Sr 0.0000 0.0000 0.0000  12 Tm 4.28, 12 Pt 4.28
3 Tm 0.2500 0.0000 0.5000  4 Pt 2.71
4 Tm 0.0000 0.5000 0.2500  4 Pt 2.71
5 Tm 0.5000 0.7500 0.0000  4 Pt 2.71
6 Tm 0.7500 0.0000 0.5000  4 Pt 2.71
7 Tm 0.0000 0.5000 0.7500  4 Pt 2.71
8 Tm 0.5000 0.2500 0.0000  4 Pt 2.71
9 Pt 0.0000 0.2500 0.5000  4 Tm 2.71
10 Pt 0.0000 0.7500 0.5000  4 Tm 2.71
11 Pt 0.5000 0.0000 0.7500  4 Tm 2.71
12 Pt 0.7500 0.5000 0.0000  4 Tm 2.71
13 Pt 0.5000 0.0000 0.2500  4 Tm 2.71
14 Pt 0.2500 0.5000 0.0000  4 Tm 2.71



3.
Entry from Alexandria via LeMat-Bulk: crystalline SrTmZnPt2 at its relaxed geometry (PBE).

abc: 4.3103 4.3103 6.8830
angles: 108.25 108.25 90.00
Closest atoms and distances in Å follow each position.
Element x y z (fractional)
1 Sr 0.0000 0.0000 0.0000  8 Pt 3.34
2 Tm 0.7500 0.2500 0.5000  4 Pt 2.76, 4 Zn 3.05
3 Zn 0.2500 0.7500 0.5000  4 Pt 2.76, 4 Tm 3.05
4 Pt 0.6098 0.6098 0.2196  1 Pt 2.71, 2 Zn 2.76, 2 Tm 2.76
5 Pt 0.3902 0.3902 0.7804  1 Pt 2.71, 2 Tm 2.76, 2 Zn 2.76



4.
Entry from Alexandria via LeMat-Bulk: crystalline SrTmZnPt at its relaxed geometry (PBE).

abc: 5.0897 5.0897 5.0897
angles: 60.00 60.00 60.00
Closest atoms and distances in Å follow each position.
Element x y z (fractional)
1 Sr 0.5000 0.5000 0.5000  4 Zn 3.12, 4 Pt 3.12
2 Zn 0.7500 0.7500 0.7500  4 Sr 3.12, 4 Tm 3.12
3 Tm 0.0000 0.0000 0.0000  4 Pt 3.12, 4 Zn 3.12
4 Pt 0.2500 0.2500 0.2500  4 Tm 3.12, 4 Sr 3.12



5.
Entry from Alexandria via LeMat-Bulk: crystalline Sr2U2Pt15 at its relaxed geometry (PBE).

abc: 7.1325 7.1325 7.1325
angles: 82.61 82.61 82.61
Closest atoms and distances in Å follow each position.
Element x y z (fractional)
1 Sr 0.3544 0.3544 0.3544  15 Pt 3.27-3.65
2 Sr 0.6456 0.6456 0.6456  15 Pt 3.27-3.65
3 U 0.0865 0.0865 0.0865  1 U 2.40
4 U 0.9135 0.9135 0.9135  1 U 2.40
5 Pt 0.5000 0.0000 0.0000  8 Pt 2.71-2.74, 2 U 2.94
6 Pt 0.0000 0.0000 0.5000  8 Pt 2.71-2.74, 2 U 2.94
7 Pt 0.0000 0.5000 0.0000  8 Pt 2.71-2.74, 2 U 2.94
8 Pt 0.0000 0.6897 0.3103  8 Pt 2.74-2.92
9 Pt 0.6897 0.3103 0.0000  8 Pt 2.74-2.92
10 Pt 0.3103 0.0000 0.6897  8 Pt 2.74-2.92
11 Pt 0.3103 0.6897 0.0000  8 Pt 2.74-2.92
12 Pt 0.6897 0.0000 0.3103  8 Pt 2.74-2.92
13 Pt 0.0000 0.3103 0.6897  8 Pt 2.74-2.92
14 Pt 0.1535 0.6583 0.6583  8 Pt 2.71-2.85, 1 U 2.97
15 Pt 0.6583 0.6583 0.1535  8 Pt 2.71-2.85, 1 U 2.97
16 Pt 0.6583 0.1535 0.6583  8 Pt 2.71-2.85, 1 U 2.97
17 Pt 0.8465 0.3417 0.3417  8 Pt 2.71-2.85, 1 U 2.97
18 Pt 0.3417 0.3417 0.8465  8 Pt 2.71-2.85, 1 U 2.97
19 Pt 0.3417 0.8465 0.3417  8 Pt 2.71-2.85, 1 U 2.97



6.
Entry from Alexandria via LeMat-Bulk: crystalline Sr2VPt2 at its relaxed geometry (PBE).

abc: 7.0850 7.0850 4.7931
angles: 90.00 90.00 90.00
Closest atoms and distances in Å follow each position.
Element x y z (fractional)
1 Sr 0.1732 0.6732 0.5000  6 Pt 3.06-3.26
2 Sr 0.6732 0.8268 0.5000  6 Pt 3.06-3.26
3 Sr 0.8268 0.3268 0.5000  6 Pt 3.06-3.26
4 Sr 0.3268 0.1732 0.5000  6 Pt 3.06-3.26
5 Pt 0.3625 0.8625 0.0000  2 V 2.75, 1 Pt 2.75, 2 Sr 3.06
6 Pt 0.8625 0.6375 0.0000  2 V 2.75, 1 Pt 2.75, 2 Sr 3.06
7 Pt 0.6375 0.1375 0.0000  2 V 2.75, 1 Pt 2.75, 2 Sr 3.06
8 Pt 0.1375 0.3625 0.0000  2 V 2.75, 1 Pt 2.75, 2 Sr 3.06
9 V 0.0000 0.0000 0.0000  4 Pt 2.75
10 V 0.5000 0.5000 0.0000  4 Pt 2.75



7.
Entry from Alexandria via LeMat-Bulk: crystalline SrVPt3 at its relaxed geometry (PBE).

abc: 4.7773 4.7773 4.7773
angles: 90.00 90.00 90.00
Closest atoms and distances in Å follow each position.
Element x y z (fractional)
1 Sr 0.5000 0.5000 0.5000  12 Pt 3.38
2 Pt 0.0000 0.5000 0.0000  2 V 2.39
3 Pt 0.0000 0.0000 0.5000  2 V 2.39
4 Pt 0.5000 0.0000 0.0000  2 V 2.39
5 V 0.0000 0.0000 0.0000  6 Pt 2.39



8.
Entry from Alexandria via LeMat-Bulk: crystalline SrV2Pt at its relaxed geometry (PBE).

abc: 4.4429 4.4429 10.0295
angles: 77.20 77.20 90.00
Closest atoms and distances in Å follow each position.
Element x y z (fractional)
1 Sr 0.5000 0.5000 0.0000  4 Pt 3.14, 8 V 3.44
2 Sr 0.2500 0.7500 0.5000  4 Pt 3.14, 8 V 3.44
3 Pt 0.0000 0.0000 0.0000  4 V 2.63
4 Pt 0.7500 0.2500 0.5000  4 V 2.63
5 V 0.8750 0.1250 0.2500  2 V 2.22
6 V 0.8750 0.6250 0.2500  2 V 2.22
7 V 0.3750 0.1250 0.7500  2 V 2.22
8 V 0.8750 0.1250 0.7500  2 V 2.22



9.
Entry from Alexandria via LeMat-Bulk: crystalline SrVPt2 at its relaxed geometry (PBE).

abc: 5.1711 5.1711 8.9327
angles: 73.18 73.18 90.00
Closest atoms and distances in Å follow each position.
Element x y z (fractional)
1 Sr 0.0000 0.0000 0.0000  8 Pt 3.40-3.68, 4 V 3.66
2 Sr 0.7500 0.2500 0.5000  8 Pt 3.40-3.68, 4 V 3.66
3 Pt 0.4120 0.1250 0.2500  2 V 2.42, 2 Pt 2.61
4 Pt 0.3380 0.6250 0.2500  2 V 2.42, 2 Pt 2.61
5 Pt 0.3750 0.5880 0.7500  2 V 2.42, 2 Pt 2.61
6 Pt 0.8750 0.6620 0.7500  2 V 2.42, 2 Pt 2.61
7 V 0.5000 0.5000 0.0000  4 Pt 2.42
8 V 0.2500 0.7500 0.5000  4 Pt 2.42



10.
Entry from Alexandria via LeMat-Bulk: crystalline SrVPt at its relaxed geometry (PBE).

abc: 6.0246 6.3712 8.1961
angles: 66.03 90.00 90.00
Closest atoms and distances in Å follow each position.
Element x y z (fractional)
1 Sr 0.8743 0.8063 0.8726  5 Pt 3.23-3.40, 6 V 3.30-3.56
2 Sr 0.3743 0.6937 0.6274  5 Pt 3.23-3.40, 6 V 3.30-3.56
3 Sr 0.1257 0.1937 0.1274  5 Pt 3.23-3.40, 6 V 3.30-3.56
4 Sr 0.6257 0.3063 0.3726  5 Pt 3.23-3.40, 6 V 3.30-3.56
5 Pt 0.8769 0.7988 0.4598  3 V 2.51-2.56
6 Pt 0.3769 0.7012 0.0402  3 V 2.51-2.56
7 Pt 0.1231 0.2012 0.5402  3 V 2.51-2.56
8 Pt 0.6231 0.2988 0.9598  3 V 2.51-2.56
9 V 0.6202 0.8950 0.1954  3 Pt 2.51-2.56
10 V 0.1202 0.6050 0.3046  3 Pt 2.51-2.56
11 V 0.3798 0.1050 0.8046  3 Pt 2.51-2.56
12 V 0.8798 0.3950 0.6954  3 Pt 2.51-2.56



11.
Entry from Alexandria via LeMat-Bulk: crystalline SrVPt3 at its relaxed geometry (PBE).

abc: 5.1541 5.1541 5.1541
angles: 90.00 90.00 90.00
Closest atoms and distances in Å follow each position.
Element x y z (fractional)
1 Sr 0.0000 0.0000 0.0000  6 Pt 2.58
2 Pt 0.0000 0.5000 0.0000  2 Sr 2.58
3 Pt 0.0000 0.0000 0.5000  2 Sr 2.58
4 Pt 0.5000 0.0000 0.0000  2 Sr 2.58
5 V 0.5000 0.5000 0.5000  12 Pt 3.64



E_form in eV per formula unit, matching the order above: -2.1; -4.7; -4.5; -2.2; -10.6; -1.8; -0.8; 1.8; -0.6; -0.5; 8.5
DFT total energy in eV per atom, matching the order above: -4.648; -5.421; -4.805; -3.918; -6.693; -5.270; -5.936; -6.039; -5.861; -5.770; -4.086